Entry 1:
First-principles (GGA-PBE) data for an optimized crystal structure of LiAsCl2, as listed in Alexandria via LeMat-Bulk.

abc: 3.438 3.438 8.055
angles: 90.00 90.00 122.62
Fractional positions:
As 0.500 0.500 0.750
Cl 0.000 0.000 0.037
Cl 0.000 0.000 0.463
Li 0.500 0.500 0.250

Energy above the most stable polymorph in this dataset   293.9 meV/atom
Formation energy (no corrections)   -0.59 eV per atom
Space group   Cmmm (65)
Energy   -12.6 eV for the cell shown
Fermi-level density of states   0.68 states/eV/cell

---

Entry 2:
First-principles (GGA-PBE) data for an optimized crystal structure of YSc2InN, as listed in Alexandria via LeMat-Bulk.

abc: 5.372 5.372 5.649
angles: 90.00 90.00 90.00
Fractional positions:
Y 0.000 0.000 0.000
Sc 0.000 0.500 0.000
Sc 0.500 0.000 0.000
N 0.500 0.500 0.500
In 0.000 0.000 0.500

Energy above the most stable polymorph in this dataset   3004.4 meV/atom
Formation energy (no corrections)   1.95 eV per atom
Space group   P4/mmm (123)
Energy   -20.5 eV for the cell shown
Fermi-level density of states   7.18 states/eV/cell

---

Entry 3:
First-principles (GGA-PBE) data for an optimized crystal structure of AlAs3P, as listed in Alexandria via LeMat-Bulk.

abc: 4.790 4.790 4.790
angles: 90.00 90.00 90.00
Fractional positions:
P 0.000 0.000 0.000
As 0.000 0.500 0.000
As 0.000 0.000 0.500
As 0.500 0.000 0.000
Al 0.500 0.500 0.500

Energy above the most stable polymorph in this dataset   0.0 meV/atom
Space group   Pm-3m (221)
Energy   -19.7 eV for the cell shown
Fermi-level density of states   3.29 states/eV/cell
Energy of formation from the pure elements   0.683 eV/atom

---

Entry 4:
First-principles (GGA-PBE) data for an optimized crystal structure of AgCSe3, as listed in Alexandria via LeMat-Bulk.

abc: 4.483 4.483 4.483
angles: 90.00 90.00 90.00
Fractional positions:
C 0.000 0.000 0.000
Se 0.000 0.500 0.000
Se 0.000 0.000 0.500
Se 0.500 0.000 0.000
Ag 0.500 0.500 0.500

Energy above the most stable polymorph in this dataset   0.0 meV/atom
Formation energy (no corrections)   1.09 eV per atom
Space group   Pm-3m (221)
Energy   -17.1 eV for the cell shown
Fermi-level density of states   4.24 states/eV/cell

---

Entry 5:
First-principles (GGA-PBE) data for an optimized crystal structure of PPtWCl2, as listed in Alexandria via LeMat-Bulk.

abc: 4.758 4.758 4.832
angles: 90.00 90.00 90.00
Fractional positions:
P 0.000 0.000 0.500
W 0.500 0.500 0.500
Pt 0.000 0.000 0.000
Cl 0.000 0.500 0.000
Cl 0.500 0.000 0.000

Energy above the most stable polymorph in this dataset   489.7 meV/atom
Formation energy (no corrections)   1.24 eV per atom
Space group   P4/mmm (123)
Energy   -21.9 eV for the cell shown
Fermi-level density of states   5.92 states/eV/cell

---

Entry 6:
First-principles (GGA-PBE) data for an optimized crystal structure of ZnGe, as listed in Alexandria via LeMat-Bulk.

abc: 9.539 9.539 3.970
angles: 90.00 90.00 90.00
Fractional positions:
Zn 0.451 0.694 0.000
Zn 0.549 0.306 0.000
Zn 0.306 0.451 0.000
Zn 0.694 0.549 0.000
Zn 0.951 0.194 0.500
Zn 0.049 0.806 0.500
Zn 0.806 0.951 0.500
Zn 0.194 0.049 0.500
Ge 0.320 0.182 0.000
Ge 0.680 0.818 0.000
Ge 0.818 0.320 0.000
Ge 0.182 0.680 0.000
Ge 0.820 0.682 0.500
Ge 0.180 0.318 0.500
Ge 0.318 0.820 0.500
Ge 0.682 0.180 0.500

Space group   I4/m (87)
Energy   -43.6 eV for the cell shown
Fermi-level density of states   5.85 states/eV/cell
Energy of formation from the pure elements   0.220 eV/atom

---

Entry 7:
First-principles (GGA-PBE) data for an optimized crystal structure of LaHoTmCo, as listed in Alexandria via LeMat-Bulk.

abc: 3.486 4.717 7.791
angles: 107.64 116.57 89.99
Fractional positions:
La 0.751 0.315 0.193
Ho 0.562 0.970 0.503
Tm 0.919 0.649 0.860
Co 0.380 0.129 0.822

Space group   Amm2 (38)
Energy   -21.2 eV for the cell shown
Fermi-level density of states   3.81 states/eV/cell
Energy of formation from the pure elements   -0.018 eV/atom

---

Entry 8:
First-principles (GGA-PBE) data for an optimized crystal structure of La7Pm3Ho, as listed in Alexandria via LeMat-Bulk.

abc: 6.070 8.699 8.699
angles: 83.17 110.31 110.31
Fractional positions:
La 0.211 0.211 0.211
La 0.304 0.013 0.596
La 0.696 0.404 0.987
La 0.304 0.596 0.013
La 0.000 0.500 0.500
La 0.696 0.987 0.404
La 0.789 0.789 0.789
Pm 0.000 0.793 0.207
Pm 0.500 0.000 0.000
Pm 0.000 0.207 0.793
Ho 0.500 0.500 0.500

Space group   C2/m (12)
Energy   -51.0 eV for the cell shown
Fermi-level density of states   17.24 states/eV/cell
Energy of formation from the pure elements   0.208 eV/atom

---

Entry 9:
First-principles (GGA-PBE) data for an optimized crystal structure of LaV2Pd2, as listed in Alexandria via LeMat-Bulk.

abc: 7.789 7.789 2.842
angles: 90.00 90.00 90.00
Fractional positions:
La 0.000 0.000 0.000
La 0.500 0.500 0.000
Pd 0.130 0.630 0.500
Pd 0.630 0.870 0.500
Pd 0.870 0.370 0.500
Pd 0.370 0.130 0.500
V 0.338 0.838 0.000
V 0.838 0.662 0.000
V 0.662 0.162 0.000
V 0.162 0.338 0.000

Energy above the most stable polymorph in this dataset   144.4 meV/atom
Space group   P4/mbm (127)
Energy   -67.0 eV for the cell shown
Fermi-level density of states   11.25 states/eV/cell
Energy of formation from the pure elements   0.010 eV/atom

---

Entry 10:
First-principles (GGA-PBE) data for an optimized crystal structure of Na2Ge2Se5, as listed in Alexandria via LeMat-Bulk.

abc: 6.262 11.321 14.372
angles: 90.00 90.00 90.00
Fractional positions:
Na 0.992 0.494 0.056
Na 0.008 0.994 0.944
Na 0.508 0.494 0.556
Na 0.492 0.994 0.444
Na 0.997 0.250 0.463
Na 0.003 0.750 0.537
Na 0.503 0.250 0.963
Na 0.497 0.750 0.037
Ge 0.533 0.394 0.205
Ge 0.467 0.894 0.795
Ge 0.967 0.394 0.705
Ge 0.033 0.894 0.295
Ge 0.041 0.201 0.155
Ge 0.959 0.701 0.845
Ge 0.459 0.201 0.655
Ge 0.541 0.701 0.345
Se 0.393 0.504 0.336
Se 0.607 0.004 0.664
Se 0.107 0.504 0.836
Se 0.893 0.004 0.164
Se 0.900 0.693 0.284
Se 0.100 0.193 0.716
Se 0.600 0.693 0.784
Se 0.400 0.193 0.216
Se 0.399 0.855 0.244
Se 0.601 0.355 0.756
Se 0.101 0.855 0.744
Se 0.899 0.355 0.256
Se 0.502 0.744 0.502
Se 0.498 0.244 0.498
Se 0.998 0.744 0.002
Se 0.002 0.244 0.998
Se 0.495 0.483 0.061
Se 0.505 0.983 0.939
Se 0.005 0.483 0.561
Se 0.995 0.983 0.439

Energy above the most stable polymorph in this dataset   0.0 meV/atom
Formation energy (no corrections)   -0.61 eV per atom
Space group   Pna2_1 (33)
Energy   -139.2 eV for the cell shown

---

Entry 11:
First-principles (GGA-PBE) data for an optimized crystal structure of K2AgHgSb, as listed in Alexandria via LeMat-Bulk.

abc: 6.778 6.778 5.225
angles: 90.00 90.00 90.00
Fractional positions:
Sb 0.000 0.000 0.000
K 0.000 0.500 0.000
K 0.500 0.000 0.000
Hg 0.500 0.500 0.500
Ag 0.000 0.000 0.500

Energy above the most stable polymorph in this dataset   0.0 meV/atom
Formation energy (no corrections)   -0.15 eV per atom
Space group   P4/mmm (123)
Energy   -10.2 eV for the cell shown
Fermi-level density of states   0.93 states/eV/cell

---

Entry 12:
First-principles (GGA-PBE) data for an optimized crystal structure of ScInBr2, as listed in Alexandria via LeMat-Bulk.

abc: 5.934 5.971 3.658
angles: 71.87 90.56 119.99
Fractional positions:
Br 0.000 0.000 0.000
Br 0.500 0.000 0.500
In 0.000 0.500 0.500
Sc 0.500 0.500 0.000

Energy above the most stable polymorph in this dataset   433.5 meV/atom
Formation energy (no corrections)   -0.55 eV per atom
Space group   C2/m (12)
Energy   -14.6 eV for the cell shown
Fermi-level density of states   1.62 states/eV/cell

---

Entry 13:
First-principles (GGA-PBE) data for an optimized crystal structure of NaYSN2, as listed in Alexandria via LeMat-Bulk.

abc: 4.624 4.624 5.381
angles: 90.00 90.00 90.00
Fractional positions:
Y 0.000 0.000 0.000
Na 0.500 0.500 0.500
S 0.000 0.000 0.500
N 0.000 0.500 0.000
N 0.500 0.000 0.000

Energy above the most stable polymorph in this dataset   0.0 meV/atom
Formation energy (no corrections)   0.27 eV per atom
Space group   P4/mmm (123)
Energy   -27.2 eV for the cell shown
Fermi-level density of states   1.74 states/eV/cell

---

Entry 14:
First-principles (GGA-PBE) data for an optimized crystal structure of CePr4Sb5, as listed in Alexandria via LeMat-Bulk.

abc: 4.550 4.550 16.382
angles: 97.98 97.98 90.00
Fractional positions:
Ce 0.000 0.000 0.000
Pr 0.400 0.400 0.799
Pr 0.800 0.800 0.600
Pr 0.200 0.200 0.400
Pr 0.600 0.600 0.201
Sb 0.099 0.099 0.198
Sb 0.500 0.500 0.000
Sb 0.901 0.901 0.802
Sb 0.300 0.300 0.600
Sb 0.700 0.700 0.400

Energy above the most stable polymorph in this dataset   2.9 meV/atom
Formation energy (no corrections)   -1.16 eV per atom
Space group   I4/mmm (139)
Energy   -57.3 eV for the cell shown
Fermi-level density of states   7.77 states/eV/cell

---

Entry 15:
First-principles (GGA-PBE) data for an optimized crystal structure of YErAlTl, as listed in Alexandria via LeMat-Bulk.

abc: 5.230 5.230 5.230
angles: 60.00 60.00 60.00
Fractional positions:
Y 0.750 0.750 0.750
Tl 0.500 0.500 0.500
Al 0.000 0.000 0.000
Er 0.250 0.250 0.250

Energy above the most stable polymorph in this dataset   25.8 meV/atom
Space group   F-43m (216)
Energy   -18.5 eV for the cell shown
Fermi-level density of states   1.48 states/eV/cell
Energy of formation from the pure elements   -0.340 eV/atom

---

Entry 16:
First-principles (GGA-PBE) data for an optimized crystal structure of AcIn3Br6, as listed in Alexandria via LeMat-Bulk.

abc: 7.973 8.826 11.565
angles: 90.00 93.34 90.00
Fractional positions:
Ac 0.500 0.500 0.500
Ac 0.000 0.000 0.000
In 0.480 0.075 0.782
In 0.500 0.500 0.000
In 0.520 0.925 0.218
In 0.980 0.425 0.282
In 0.000 0.000 0.500
In 0.020 0.575 0.718
Br 0.326 0.834 0.959
Br 0.329 0.779 0.596
Br 0.347 0.578 0.260
Br 0.653 0.422 0.740
Br 0.671 0.221 0.404
Br 0.674 0.166 0.041
Br 0.826 0.666 0.459
Br 0.829 0.721 0.096
Br 0.847 0.922 0.760
Br 0.153 0.078 0.240
Br 0.171 0.279 0.904
Br 0.174 0.334 0.541

Formation energy (no corrections)   -1.20 eV per atom
Space group   P2_1/c (14)
Energy   -68.7 eV for the cell shown
Fermi-level density of states   0.00 states/eV/cell

---

Entry 17:
First-principles (GGA-PBE) data for an optimized crystal structure of GaTcSe3, as listed in Alexandria via LeMat-Bulk.

abc: 4.951 4.951 4.951
angles: 90.00 90.00 90.00
Fractional positions:
Ga 0.000 0.000 0.000
Tc 0.500 0.500 0.500
Se 0.000 0.500 0.000
Se 0.000 0.000 0.500
Se 0.500 0.000 0.000

Energy above the most stable polymorph in this dataset   616.9 meV/atom
Formation energy (no corrections)   0.84 eV per atom
Space group   Pm-3m (221)
Energy   -19.7 eV for the cell shown
Fermi-level density of states   3.64 states/eV/cell

---

Entry 18:
First-principles (GGA-PBE) data for an optimized crystal structure of Sc3VN, as listed in Alexandria via LeMat-Bulk.

abc: 4.454 4.454 4.454
angles: 90.00 90.00 90.00
Fractional positions:
Sc 0.000 0.500 0.000
Sc 0.000 0.000 0.500
Sc 0.500 0.000 0.000
V 0.500 0.500 0.500
N 0.000 0.000 0.000

Energy above the most stable polymorph in this dataset   0.0 meV/atom
Formation energy (no corrections)   -0.55 eV per atom
Space group   Pm-3m (221)
Energy   -39.2 eV for the cell shown
Fermi-level density of states   5.20 states/eV/cell

---

Entry 19:
First-principles (GGA-PBE) data for an optimized crystal structure of BeAsSe2I, as listed in Alexandria via LeMat-Bulk.

abc: 4.434 4.434 5.680
angles: 90.00 90.00 90.00
Fractional positions:
I 0.500 0.500 0.500
Be 0.000 0.000 0.000
As 0.000 0.000 0.500
Se 0.000 0.500 0.000
Se 0.500 0.000 0.000

Energy above the most stable polymorph in this dataset   0.0 meV/atom
Formation energy (no corrections)   0.41 eV per atom
Space group   P4/mmm (123)
Energy   -14.8 eV for the cell shown
Fermi-level density of states   3.90 states/eV/cell

---

Entry 20:
First-principles (GGA-PBE) data for an optimized crystal structure of Al2MoSe, as listed in Alexandria via LeMat-Bulk.

abc: 7.168 7.168 5.762
angles: 51.53 51.53 90.00
Fractional positions:
Mo 0.000 0.000 0.000
Mo 0.750 0.250 0.500
Al 0.614 0.125 0.250
Al 0.136 0.625 0.250
Al 0.375 0.386 0.750
Al 0.875 0.864 0.750
Se 0.500 0.500 0.000
Se 0.250 0.750 0.500

Formation energy (no corrections)   0.33 eV per atom
Space group   I-42d (122)
Energy   -40.9 eV for the cell shown
Fermi-level density of states   6.64 states/eV/cell